Compound: YBe2HAu
Source: Alexandria
Functional: PBE-GGA
Structure: optimized geometry

Lattice parameters (Å, degrees): 5.5972 5.5932 5.5972 90.00 90.00 90.00
With the nearest neighbours (Å) after each atom.
Sites, in units of the cell vectors:
H 0.5000 0.5000 0.5000  8 Be 3.96, 4 Au 3.96
Y 0.0000 0.0000 0.0000  2 Au 2.80, 4 Be 2.80
Au 0.0000 0.5000 0.0000  2 Y 2.80
Be 0.0000 0.0000 0.5000  2 Y 2.80
Be 0.5000 0.0000 0.0000  2 Y 2.80

DOS at the Fermi energy	3.66	states/eV/cell
uncorrected energy	-2.32	eV per atom
magnetic moment	0.5	μB/f.u.